A relaxed SmDy2Y3Bi6 crystal. Source: Alexandria via LeMat-Bulk, functional GGA-PBE.

Properties
**Space group**: C2/m
**Energy relative to the elements**: -0.89 eV per atom
**DOS(E_F)**: 0.187 states/eV per atom
**Total energy**: -5.6052 eV/atom

abc: 7.7865 7.7865 7.7791
angles: 99.59 99.59 120.01
Closest atoms and distances in Å follow each position.
Element x y z (fractional)
Sm 0.0000 0.0000 0.0000  6 Bi 3.20
Dy 0.3329 0.6671 0.0000  6 Bi 3.17
Dy 0.6671 0.3329 0.0000  6 Bi 3.17
Y 0.1652 0.8348 0.5000  6 Bi 3.17-3.18
Y 0.5000 0.5000 0.5000  6 Bi 3.16-3.18
Y 0.8348 0.1652 0.5000  6 Bi 3.17-3.18
Bi 0.0839 0.4204 0.2516  3 Y 3.17-3.18, 2 Dy 3.17, 1 Sm 3.20
Bi 0.2532 0.2532 0.7497  3 Y 3.16-3.17, 2 Dy 3.17, 1 Sm 3.20
Bi 0.4204 0.0839 0.2516  3 Y 3.17-3.18, 2 Dy 3.17, 1 Sm 3.20
Bi 0.5796 0.9161 0.7484  3 Y 3.17-3.18, 2 Dy 3.17, 1 Sm 3.20
Bi 0.7468 0.7468 0.2503  3 Y 3.16-3.17, 2 Dy 3.17, 1 Sm 3.20
Bi 0.9161 0.5796 0.7484  3 Y 3.17-3.18, 2 Dy 3.17, 1 Sm 3.20

A relaxed Rb2ZrAsF6 crystal. Source: Alexandria via LeMat-Bulk, functional GGA-PBE.

Properties
**Space group**: I4/mmm
**DOS(E_F)**: 0.000 states/eV per atom
**Total energy**: -5.2790 eV/atom
**Energy relative to the elements, uncorrected**: -2.643 eV/atom

abc: 7.0559 7.0559 7.0559
angles: 120.25 120.25 89.57
Closest atoms and distances in Å follow each position.
Element x y z (fractional)
Rb 0.2500 0.7500 0.5000  12 F 3.55-3.56
Rb 0.7500 0.2500 0.5000  12 F 3.55-3.56
Zr 0.0000 0.0000 0.0000  6 F 2.04
As 0.5000 0.5000 0.0000  6 F 2.93-2.97
F 0.2035 0.2035 0.0000  1 Zr 2.04
F 0.2050 0.2050 0.4100  1 Zr 2.04
F 0.2050 0.7950 0.0000  1 Zr 2.04
F 0.7950 0.2050 0.0000  1 Zr 2.04
F 0.7950 0.7950 0.5900  1 Zr 2.04
F 0.7965 0.7965 0.0000  1 Zr 2.04

A relaxed Sn2AsSe crystal. Source: Alexandria via LeMat-Bulk, functional GGA-PBE.

Properties
**Space group**: Pmna
**DOS(E_F)**: 0.442 states/eV per atom
**ΔE to the lowest computed polymorph**: 0 kJ/mol of formula units
**Total energy**: -4.2581 eV/atom
**Energy relative to the elements, uncorrected**: -0.223 eV/atom

abc: 5.8544 5.8567 12.1554
angles: 90.00 90.00 90.00
Closest atoms and distances in Å follow each position.
Element x y z (fractional)
Sn 0.0000 0.2494 0.1128  3 As 2.89-2.93, 3 Se 2.93-3.19
Sn 0.0000 0.2504 0.6370  3 As 2.89-2.93, 3 Se 2.93-3.18
Sn 0.0000 0.7496 0.3630  3 As 2.89-2.93, 3 Se 2.93-3.18
Sn 0.0000 0.7506 0.8872  3 As 2.89-2.93, 3 Se 2.93-3.19
Sn 0.5000 0.2494 0.3872  3 As 2.89-2.93, 3 Se 2.93-3.19
Sn 0.5000 0.2504 0.8630  3 As 2.89-2.93, 3 Se 2.93-3.18
Sn 0.5000 0.7496 0.1370  3 As 2.89-2.93, 3 Se 2.93-3.18
Sn 0.5000 0.7506 0.6128  3 As 2.89-2.93, 3 Se 2.93-3.19
As 0.0000 0.2507 0.8750  6 Sn 2.89-2.93
As 0.0000 0.7493 0.1250  6 Sn 2.89-2.93
As 0.5000 0.2507 0.6250  6 Sn 2.89-2.93
As 0.5000 0.7493 0.3750  6 Sn 2.89-2.93
Se 0.0000 0.2494 0.3750  6 Sn 2.93-3.19
Se 0.0000 0.7506 0.6250  6 Sn 2.93-3.19
Se 0.5000 0.2494 0.1250  6 Sn 2.93-3.19
Se 0.5000 0.7506 0.8750  6 Sn 2.93-3.19

Q: What is the DOS(E_F) in the third record?
A: 0.442 states/eV per atom